First-principles (PBE with a Hubbard U) data for YScMoO2 after structural relaxation, as listed in Alexandria via LeMat-Bulk.

Cell: 4.317 4.317 6.842 Å, 90.00 90.00 90.00°
Space group P4/mmm (No. 123)
Asymmetric unit:
Y1 0.000 0.000 0.000 [1 per cell]
Sc1 0.000 0.000 0.500 [1 per cell]
Mo1 0.500 0.500 0.500 [1 per cell]
O1 0.000 0.500 0.000 [2 per cell]

## Properties
Total magnetization (μB per atom): 0.8503
Relative energy among the computed polymorphs (meV/atom): 26